{
  "formula": "AlAgBiS4",
  "functional": "GGA-PBE",
  "state": "relaxed",
  "lattice_angstrom": [[-3.707, 3.903, 5.413], [3.707, -3.903, 5.413], [3.707, 3.903, -5.413]],
  "species": ["Al", "Al", "Ag", "Ag", "Bi", "Bi", "S", "S", "S", "S", "S", "S", "S", "S"],
  "fractional_positions": [[0.500, 0.000, 0.000], [0.500, 0.500, 0.500], [0.102, 0.352, 0.750], [0.898, 0.648, 0.250], [0.000, 0.000, 0.000], [0.500, 0.000, 0.500], [0.276, 0.285, 0.509], [0.276, 0.767, 0.991], [0.287, 0.748, 0.539], [0.291, 0.252, 0.039], [0.709, 0.748, 0.961], [0.713, 0.252, 0.461], [0.724, 0.233, 0.009], [0.724, 0.715, 0.491]],
  "dos_at_fermi_per_ev_atom": 0.4961,
  "formation_energy_uncorrected_mev_per_atom": -441.2,
  "total_energy_ev_per_atom": -4.296,
  "space_group": "Imma (74)"
}